Record 1
Computed, not measured: crystalline KScN2 at its relaxed geometry at the PBE level of DFT.

Lattice parameters (Å, degrees): 4.229 4.229 4.229 60.00 60.00 60.00
Fractional positions:
K1 0.000 0.000 0.000
Sc1 0.500 0.500 0.500
N1 0.250 0.250 0.250
N2 0.750 0.750 0.750

## Properties
- E_tot: -21.67 eV for the cell shown
- Raw formation energy: 0.60 eV/atom
- Relative energy among the computed polymorphs: 0.653 eV/atom

Record 2
Computed, not measured: crystalline Nd3Dy2YAs6 at its relaxed geometry at the PBE level of DFT.

Lattice parameters (Å, degrees): 7.272 7.272 7.266 99.59 99.59 119.99
Fractional positions:
Nd1 0.000 0.000 0.000
Nd2 0.333 0.667 0.000
Nd3 0.667 0.333 0.000
Dy1 0.167 0.833 0.500
Dy2 0.833 0.167 0.500
Y1 0.500 0.500 0.500
As1 0.086 0.420 0.259
As2 0.247 0.247 0.741
As3 0.420 0.086 0.259
As4 0.580 0.914 0.741
As5 0.753 0.753 0.259
As6 0.914 0.580 0.741

## Properties
- E_tot: -76.14 eV for the cell shown
- E_form: -1.523 eV/atom

Record 3
Computed, not measured: crystalline Dy2Mg5Cd at its relaxed geometry at the PBE level of DFT.

Lattice parameters (Å, degrees): 6.740 6.740 5.028 90.00 90.00 90.00
Fractional positions:
Dy1 0.000 0.500 0.000
Dy2 0.500 0.000 0.000
Mg1 0.000 0.000 0.000
Mg2 0.285 0.285 0.500
Mg3 0.285 0.715 0.500
Mg4 0.715 0.285 0.500
Mg5 0.715 0.715 0.500
Cd1 0.000 0.000 0.500

## Properties
- E_tot: -15.96 eV for the cell shown
- E_form: 0.266 eV/atom

Record 4
Computed, not measured: crystalline ZrRe2Ru at its relaxed geometry at the PBE level of DFT.

Lattice parameters (Å, degrees): 4.509 4.509 4.509 60.00 60.00 60.00
Fractional positions:
Zr1 0.000 0.000 0.000
Re1 0.250 0.250 0.250
Re2 0.750 0.750 0.750
Ru1 0.500 0.500 0.500

## Properties
- E_tot: -41.73 eV for the cell shown
- Relative energy among the computed polymorphs: 0.276 eV/atom
- E_form: 0.247 eV/atom

Record 5
Computed, not measured: crystalline Ba3CdPt2 at its relaxed geometry at the PBE level of DFT.

Lattice parameters (Å, degrees): 5.686 9.867 7.591 90.00 98.80 90.00
Fractional positions:
Ba1 0.055 0.250 0.271
Ba2 0.437 0.031 0.749
Ba3 0.437 0.469 0.749
Ba4 0.563 0.531 0.251
Ba5 0.563 0.969 0.251
Ba6 0.945 0.750 0.729
Cd1 0.065 0.750 0.197
Cd2 0.935 0.250 0.803
Pt1 0.000 0.000 0.000
Pt2 0.000 0.500 0.000
Pt3 0.402 0.750 0.518
Pt4 0.598 0.250 0.482

## Properties
- E_tot: -44.62 eV for the cell shown
- E_form: -0.590 eV/atom

Record 6
Computed, not measured: crystalline Tb2CBr2 at its relaxed geometry at the PBE level of DFT.

Lattice parameters (Å, degrees): 11.126 11.126 11.126 19.27 19.27 19.27
Fractional positions:
Tb1 0.125 0.125 0.125
Tb2 0.875 0.875 0.875
C1 0.500 0.500 0.500
Br1 0.396 0.396 0.396
Br2 0.604 0.604 0.604

## Properties
- E_tot: -27.75 eV for the cell shown
- Raw formation energy: -1.18 eV/atom

Record 7
Computed, not measured: crystalline Pm2YPt2 at its relaxed geometry at the PBE level of DFT.

Lattice parameters (Å, degrees): 7.866 7.866 4.058 90.00 90.00 90.00
Fractional positions:
Pm1 0.163 0.337 0.000
Pm2 0.337 0.837 0.000
Pm3 0.663 0.163 0.000
Pm4 0.837 0.663 0.000
Y1 0.000 0.000 0.500
Y2 0.500 0.500 0.500
Pt1 0.137 0.637 0.500
Pt2 0.363 0.137 0.500
Pt3 0.637 0.863 0.500
Pt4 0.863 0.363 0.500

## Properties
- E_tot: -65.94 eV for the cell shown
- Relative energy among the computed polymorphs: 0.000 eV/atom
- E_form: -0.985 eV/atom

Record 8
Computed, not measured: crystalline YCd2Mo at its relaxed geometry at the PBE level of DFT.

Lattice parameters (Å, degrees): 3.032 3.032 9.312 90.00 90.00 90.00
Fractional positions:
Y1 0.000 0.000 0.000
Cd1 0.000 0.000 0.527
Cd2 0.500 0.500 0.276
Mo1 0.500 0.500 0.754

## Properties
- E_tot: -18.19 eV for the cell shown
- Relative energy among the computed polymorphs: 0.038 eV/atom
- E_form: 0.235 eV/atom

Record 9
Computed, not measured: crystalline Ba2AcZnO5 at its relaxed geometry at the PBE level of DFT.

Lattice parameters (Å, degrees): 7.663 7.663 11.995 90.00 90.00 151.42
Fractional positions:
Ba1 0.095 0.905 0.500
Ba2 0.141 0.859 0.173
Ba3 0.859 0.141 0.673
Ba4 0.905 0.095 0.000
Ac1 0.188 0.812 0.874
Ac2 0.812 0.188 0.374
Zn1 0.459 0.541 0.245
Zn2 0.541 0.459 0.745
O1 0.025 0.975 0.818
O2 0.283 0.717 0.504
O3 0.324 0.676 0.236
O4 0.345 0.655 0.839
O5 0.487 0.513 0.599
O6 0.513 0.487 0.099
O7 0.655 0.345 0.339
O8 0.676 0.324 0.736
O9 0.717 0.283 0.004
O10 0.975 0.025 0.318

## Properties
- E_tot: -108.86 eV for the cell shown
- Raw formation energy: -2.27 eV/atom

Record 10
Computed, not measured: crystalline Li2AgAu2 at its relaxed geometry at the PBE level of DFT.

Lattice parameters (Å, degrees): 7.549 7.549 2.921 90.00 90.00 90.00
Fractional positions:
Li1 0.159 0.341 0.000
Li2 0.341 0.841 0.000
Li3 0.659 0.159 0.000
Li4 0.841 0.659 0.000
Ag1 0.000 0.000 0.500
Ag2 0.500 0.500 0.500
Au1 0.139 0.639 0.500
Au2 0.361 0.139 0.500
Au3 0.639 0.861 0.500
Au4 0.861 0.361 0.500

## Properties
- E_tot: -30.08 eV for the cell shown
- Relative energy among the computed polymorphs: 0.027 eV/atom
- E_form: -0.362 eV/atom

Record 11
Computed, not measured: crystalline NaPmCdGa at its relaxed geometry at the PBE level of DFT.

Lattice parameters (Å, degrees): 5.184 5.184 5.184 60.00 60.00 60.00
Fractional positions:
Na1 0.000 0.000 0.000
Pm1 0.500 0.500 0.500
Cd1 0.250 0.250 0.250
Ga1 0.750 0.750 0.750

## Properties
- E_tot: -11.01 eV for the cell shown
- E_form: -0.249 eV/atom

Record 12
Computed, not measured: crystalline La3GeIr at its relaxed geometry at the PBE level of DFT.

Lattice parameters (Å, degrees): 5.629 7.534 7.984 68.23 79.30 69.05
Fractional positions:
La1 0.050 0.104 0.180
La2 0.350 0.221 0.674
La3 0.359 0.462 0.230
La4 0.641 0.538 0.770
La5 0.650 0.779 0.326
La6 0.950 0.896 0.820
Ge1 0.140 0.695 0.525
Ge2 0.860 0.305 0.475
Ir1 0.422 0.833 0.972
Ir2 0.578 0.167 0.028

## Properties
- E_tot: -62.96 eV for the cell shown
- Relative energy among the computed polymorphs: 0.049 eV/atom
- E_form: -0.644 eV/atom

Record 13
Computed, not measured: crystalline BaSr2Pb at its relaxed geometry at the PBE level of DFT.

Lattice parameters (Å, degrees): 5.496 5.496 5.576 90.00 90.00 90.00
Fractional positions:
Ba1 0.000 0.000 0.000
Sr1 0.000 0.500 0.500
Sr2 0.500 0.000 0.500
Pb1 0.500 0.500 0.000

## Properties
- E_tot: -10.21 eV for the cell shown
- E_form: -0.304 eV/atom

Record 14
Computed, not measured: crystalline BeCu2Mo at its relaxed geometry at the PBE level of DFT.

Lattice parameters (Å, degrees): 3.471 3.471 4.058 90.00 90.00 90.00
Fractional positions:
Be1 0.000 0.000 0.000
Cu1 0.000 0.500 0.500
Cu2 0.500 0.000 0.500
Mo1 0.500 0.500 0.000

## Properties
- E_tot: -21.78 eV for the cell shown
- E_form: 0.243 eV/atom

Record 15
Computed, not measured: crystalline Cs2BAsI6 at its relaxed geometry at the PBE level of DFT.

Lattice parameters (Å, degrees): 8.105 8.105 8.105 119.08 119.08 91.60
Fractional positions:
Cs1 0.250 0.750 0.500
Cs2 0.750 0.250 0.500
B1 0.000 0.000 0.000
As1 0.500 0.500 0.000
I1 0.238 0.238 0.000
I2 0.249 0.249 0.498
I3 0.249 0.751 0.000
I4 0.751 0.249 0.000
I5 0.751 0.751 0.502
I6 0.762 0.762 0.000

## Properties
- E_tot: -26.18 eV for the cell shown
- Raw formation energy: -0.38 eV/atom

Record 16
Computed, not measured: crystalline CrFe2Ru at its relaxed geometry at the PBE level of DFT.

Lattice parameters (Å, degrees): 4.121 4.121 4.121 60.00 60.00 60.00
Fractional positions:
Cr1 0.000 0.000 0.000
Fe1 0.500 0.500 0.500
Fe2 0.750 0.750 0.750
Ru1 0.250 0.250 0.250

## Properties
- E_tot: -35.31 eV for the cell shown
- E_form: 0.128 eV/atom

Record 17
Computed, not measured: crystalline Li2YTl2 at its relaxed geometry at the PBE level of DFT.

Lattice parameters (Å, degrees): 7.543 7.543 7.543 148.42 148.42 45.27
Fractional positions:
Li1 0.250 0.750 0.500
Li2 0.750 0.250 0.500
Y1 0.000 0.000 0.000
Tl1 0.388 0.388 0.000
Tl2 0.612 0.612 0.000

## Properties
- E_tot: -16.20 eV for the cell shown
- Relative energy among the computed polymorphs: 0.000 eV/atom
- E_form: -0.235 eV/atom

Record 18
Computed, not measured: crystalline MgBi2Sb at its relaxed geometry at the PBE level of DFT.

Lattice parameters (Å, degrees): 8.560 8.560 8.560 133.36 133.36 68.08
Fractional positions:
Mg1 0.000 0.000 0.000
Mg2 0.750 0.250 0.500
Bi1 0.112 0.625 0.987
Bi2 0.375 0.362 0.487
Bi3 0.638 0.125 0.013
Bi4 0.875 0.888 0.513
Sb1 0.250 0.750 0.500
Sb2 0.500 0.500 0.000

## Properties
- E_tot: -25.92 eV for the cell shown
- Raw formation energy: 0.13 eV/atom
- Relative energy among the computed polymorphs: 0.080 eV/atom

Record 19
Computed, not measured: crystalline K2AgPb2 at its relaxed geometry at the PBE level of DFT.

Lattice parameters (Å, degrees): 8.817 8.817 8.817 149.53 149.53 43.64
Fractional positions:
K1 0.250 0.750 0.500
K2 0.750 0.250 0.500
Ag1 0.000 0.000 0.000
Pb1 0.413 0.413 0.000
Pb2 0.587 0.587 0.000

## Properties
- E_tot: -10.76 eV for the cell shown
- Relative energy among the computed polymorphs: 0.391 eV/atom
- E_form: 0.341 eV/atom

Record 20
Computed, not measured: crystalline TlBiOs2O8 at its relaxed geometry at the PBE level of DFT.

Lattice parameters (Å, degrees): 5.804 5.804 8.314 90.00 90.00 120.00
Fractional positions:
Tl1 0.000 0.000 0.000
Bi1 0.000 0.000 0.500
Os1 0.333 0.667 0.756
Os2 0.667 0.333 0.244
O1 0.078 0.344 0.680
O2 0.266 0.922 0.680
O3 0.333 0.667 0.968
O4 0.344 0.266 0.320
O5 0.656 0.734 0.680
O6 0.667 0.333 0.032
O7 0.734 0.078 0.320
O8 0.922 0.656 0.320

## Properties
- E_tot: -78.67 eV for the cell shown
- Raw formation energy: -0.86 eV/atom